Record 1
Material: Na3Hg2Au
Method: DFT, PBE-GGA
State: optimized geometry Values from VASP.

Quantum ESPRESSO input file:
```
&SYSTEM
  ibrav = 0, nat = 12, ntyp = 3
/
ATOMIC_SPECIES
Na 22.99 Na.upf
Hg 200.59 Hg.upf
Au 196.97 Au.upf
ATOMIC_POSITIONS crystal
Na 0.362 0.750 0.000
Na 0.042 0.074 0.320
Na 0.638 0.250 0.000
Na 0.722 0.426 0.680
Na 0.278 0.574 0.320
Na 0.958 0.926 0.680
Hg 0.792 0.589 0.332
Hg 0.540 0.089 0.332
Hg 0.208 0.411 0.668
Hg 0.460 0.911 0.668
Au 0.136 0.250 0.000
Au 0.864 0.750 0.000
CELL_PARAMETERS angstrom
-0.188 2.951 5.693
0.621 -5.006 2.615
7.866 -0.679 -3.003
```

## Properties
As for the formation energy: -0.239 eV per atom. The space-group type is C2/c (15). The value obtained for the magnetization is 0.00 μB per formula unit. For the total energy, the calculation gives -1.55 eV per atom. As for the energy above the most stable polymorph in this dataset: 0.030 eV per atom.


Record 2
Material: GdHgBi
Method: DFT, PBE-GGA
State: optimized geometry Values from VASP.

Quantum ESPRESSO input file:
```
&SYSTEM
  ibrav = 0, nat = 3, ntyp = 3
/
ATOMIC_SPECIES
Gd 157.25 Gd.upf
Bi 208.98 Bi.upf
Hg 200.59 Hg.upf
ATOMIC_POSITIONS crystal
Gd 0.250 0.250 0.250
Bi 0.000 0.000 0.000
Hg 0.500 0.500 0.500
CELL_PARAMETERS angstrom
-3.063 -0.552 -4.185
-1.871 -4.702 -1.260
-5.076 -1.034 0.602
```

## Properties
As for the formation energy: -0.437 eV per atom. The space-group type is F-43m (216). The value obtained for the magnetization is 7.00 μB per formula unit. For the total energy, the calculation gives -6.53 eV per atom. As for the energy above the most stable polymorph in this dataset: 0.050 eV per atom.


Record 3
Material: RbLiTi2
Method: DFT, PBE-GGA
State: optimized geometry Values from VASP.

Quantum ESPRESSO input file:
```
&SYSTEM
  ibrav = 0, nat = 8, ntyp = 3
/
ATOMIC_SPECIES
Ti 47.87 Ti.upf
Rb 85.47 Rb.upf
Li 6.94 Li.upf
ATOMIC_POSITIONS crystal
Ti 0.604 0.125 0.250
Ti 0.375 0.396 0.750
Ti 0.875 0.854 0.750
Ti 0.146 0.625 0.250
Rb 0.000 0.000 0.000
Rb 0.750 0.250 0.500
Li 0.500 0.500 0.000
Li 0.250 0.750 0.500
CELL_PARAMETERS angstrom
-2.147 -3.237 0.816
-0.492 -0.653 -3.884
8.957 -8.798 -1.684
```

## Properties
As for the formation energy: 1.079 eV per atom. The space-group type is I-42d (122). The value obtained for the magnetization is 1.92 μB per formula unit. For the total energy, the calculation gives -3.59 eV per atom. As for the energy above the most stable polymorph in this dataset: 0.000 eV per atom.


Record 4
Material: TlZnIn2
Method: DFT, PBE-GGA
State: optimized geometry Values from VASP.

Quantum ESPRESSO input file:
```
&SYSTEM
  ibrav = 0, nat = 4, ntyp = 3
/
ATOMIC_SPECIES
In 114.82 In.upf
Tl 204.38 Tl.upf
Zn 65.41 Zn.upf
ATOMIC_POSITIONS crystal
In 0.500 0.500 0.000
In 0.000 0.000 0.000
Tl 0.500 0.000 0.500
Zn 0.000 0.500 0.500
CELL_PARAMETERS angstrom
6.364 -0.165 0.080
-3.138 5.540 0.080
0.627 1.045 3.026
```

## Properties
As for the formation energy: 0.138 eV per atom. The space-group type is C2/m (12). The value obtained for the magnetization is 0.00 μB per formula unit. For the total energy, the calculation gives -2.14 eV per atom.


no.,DOS(E_F) (states/eV/f.u.)
1,2.15
2,0.73
3,2.11
4,1.47